Entry from the Alexandria database: a geometry-optimized BaHg3 structure (PBEsol).

Cell and atoms, written as POSCAR:
```
BaHg3
1.0
-2.7763 -2.3478 -1.7572
2.1670 -3.3527 1.0559
-2.7952 0.2141 6.4166
Hg Ba
3 1
Direct
0.4457 0.5000 0.7124
0.0000 0.0000 0.5000
0.5543 0.5000 0.2876
0.0000 0.0000 0.0000
```

Computed properties:
E: -1.339 eV/atom
ΔE_f: -376 meV per atom
SG: P2/m